1) Compound: BeBiSeBr2
Source: Alexandria
Functional: SCAN
Structure: single point on PBEsol structure

CIF file:
```
data_BeBiSeBr2
_space_group_name_H-M_alt 'P 4/m m m'
_space_group_IT_number 123
_space_group_name_Hall '-P 4 2'
_cell_length_a 4.628
_cell_length_b 4.628
_cell_length_c 5.009
_cell_angle_alpha 90.00
_cell_angle_beta 90.00
_cell_angle_gamma 90.00
loop_
_atom_site_label
_atom_site_fract_x
_atom_site_fract_y
_atom_site_fract_z
Be1 0.000 0.000 0.000
Bi1 0.500 0.500 0.500
Se1 0.000 0.000 0.500
Br1 0.000 0.500 0.000
```

Summary:
* N(E_F): 2.2 states/eV per cell
* mass density: 7.07 g cm⁻³
* total magnetic moment: 0.000 μB per atom


2) Compound: BeBiSeBr2
Source: Alexandria
Functional: SCAN
Structure: single point on PBEsol structure

CIF file:
```
data_BeBiSeBr2
_space_group_name_H-M_alt 'P 4/m m m'
_space_group_IT_number 123
_space_group_name_Hall '-P 4 2'
_cell_length_a 5.579
_cell_length_b 5.579
_cell_length_c 5.578
_cell_angle_alpha 90.00
_cell_angle_beta 90.00
_cell_angle_gamma 90.00
loop_
_atom_site_label
_atom_site_fract_x
_atom_site_fract_y
_atom_site_fract_z
Be1 0.000 0.000 0.000
Bi1 0.500 0.500 0.500
Se1 0.500 0.500 0.000
Br1 0.000 0.500 0.500
```

Summary:
* N(E_F): 0.7 states/eV per cell
* mass density: 4.37 g cm⁻³
* total magnetic moment: 0.193 μB per atom


Result of the stability comparison: 2) is the least stable of them.


1) Compound: Be3HgBi
Source: Alexandria
Functional: SCAN
Structure: single point on PBEsol structure

CIF file:
```
data_Be3HgBi
_space_group_name_H-M_alt 'P m -3 m'
_space_group_IT_number 221
_space_group_name_Hall '-P 4 2 3'
_cell_length_a 4.810
_cell_length_b 4.810
_cell_length_c 4.810
_cell_angle_alpha 90.00
_cell_angle_beta 90.00
_cell_angle_gamma 90.00
loop_
_atom_site_label
_atom_site_fract_x
_atom_site_fract_y
_atom_site_fract_z
Be1 0.000 0.000 0.500
Hg1 0.500 0.500 0.500
Bi1 0.000 0.000 0.000
```

Summary:
* N(E_F): 2.6 states/eV per cell
* mass density: 6.52 g cm⁻³
* total magnetic moment: 0.000 μB per atom


2) Compound: Be3HgBi
Source: Alexandria
Functional: SCAN
Structure: single point on PBEsol structure

CIF file:
```
data_Be3HgBi
_space_group_name_H-M_alt 'P m -3 m'
_space_group_IT_number 221
_space_group_name_Hall '-P 4 2 3'
_cell_length_a 4.510
_cell_length_b 4.510
_cell_length_c 4.510
_cell_angle_alpha 90.00
_cell_angle_beta 90.00
_cell_angle_gamma 90.00
loop_
_atom_site_label
_atom_site_fract_x
_atom_site_fract_y
_atom_site_fract_z
Be1 0.000 0.000 0.500
Hg1 0.000 0.000 0.000
Bi1 0.500 0.500 0.500
```

Summary:
* N(E_F): 1.5 states/eV per cell
* mass density: 7.91 g cm⁻³
* total magnetic moment: 0.000 μB per atom


Result of the stability comparison: 1) is the least stable of them.


1) Compound: BeBi2O
Source: Alexandria
Functional: SCAN
Structure: single point on PBEsol structure

CIF file:
```
data_BeBi2O
_space_group_name_H-M_alt 'F m -3 m'
_space_group_IT_number 225
_space_group_name_Hall '-F 4 2 3'
_cell_length_a 6.539
_cell_length_b 6.539
_cell_length_c 6.539
_cell_angle_alpha 90.00
_cell_angle_beta 90.00
_cell_angle_gamma 90.00
loop_
_atom_site_label
_atom_site_fract_x
_atom_site_fract_y
_atom_site_fract_z
Be1 0.000 0.000 0.000
Bi1 0.250 0.250 0.250
O1 0.000 0.000 0.500
```

Summary:
* N(E_F): 10.3 states/eV per cell
* mass density: 10.52 g cm⁻³
* total magnetic moment: 0.024 μB per atom


2) Compound: BeBi2O
Source: Alexandria
Functional: SCAN
Structure: single point on PBEsol structure

CIF file:
```
data_BeBi2O
_space_group_name_H-M_alt 'I -4 2 d'
_space_group_IT_number 122
_space_group_name_Hall 'I -4 2bw'
_cell_length_a 5.314
_cell_length_b 5.314
_cell_length_c 12.372
_cell_angle_alpha 90.00
_cell_angle_beta 90.00
_cell_angle_gamma 90.00
loop_
_atom_site_label
_atom_site_fract_x
_atom_site_fract_y
_atom_site_fract_z
Be1 0.000 0.000 0.000
Bi1 0.226 0.250 0.625
O1 0.000 0.000 0.500
```

Summary:
* N(E_F): 4.0 states/eV per cell
* mass density: 8.42 g cm⁻³
* total magnetic moment: 0.000 μB per atom


Result of the stability comparison: 1) is the least stable of them.


1) Compound: BeBi2TeW
Source: Alexandria
Functional: SCAN
Structure: single point on PBEsol structure

CIF file:
```
data_BeBi2TeW
_space_group_name_H-M_alt 'P 4/m m m'
_space_group_IT_number 123
_space_group_name_Hall '-P 4 2'
_cell_length_a 5.392
_cell_length_b 5.392
_cell_length_c 5.140
_cell_angle_alpha 90.00
_cell_angle_beta 90.00
_cell_angle_gamma 90.00
loop_
_atom_site_label
_atom_site_fract_x
_atom_site_fract_y
_atom_site_fract_z
Be1 0.000 0.000 0.000
Bi1 0.000 0.500 0.500
Te1 0.500 0.500 0.000
W1 0.500 0.500 0.500
```

Summary:
* N(E_F): 3.4 states/eV per cell
* mass density: 8.21 g cm⁻³
* total magnetic moment: 0.000 μB per atom


2) Compound: BeBi2TeW
Source: Alexandria
Functional: SCAN
Structure: single point on PBEsol structure

CIF file:
```
data_BeBi2TeW
_space_group_name_H-M_alt 'P 4/m m m'
_space_group_IT_number 123
_space_group_name_Hall '-P 4 2'
_cell_length_a 5.087
_cell_length_b 5.087
_cell_length_c 4.464
_cell_angle_alpha 90.00
_cell_angle_beta 90.00
_cell_angle_gamma 90.00
loop_
_atom_site_label
_atom_site_fract_x
_atom_site_fract_y
_atom_site_fract_z
Be1 0.000 0.000 0.000
Bi1 0.000 0.500 0.000
Te1 0.500 0.500 0.500
W1 0.000 0.000 0.500
```

Summary:
* N(E_F): 3.8 states/eV per cell
* mass density: 10.62 g cm⁻³
* total magnetic moment: 0.552 μB per atom


Result of the stability comparison: 1) is the least stable of them.


1) Compound: Y2BeBi
Source: Alexandria
Functional: SCAN
Structure: single point on PBEsol structure

CIF file:
```
data_Y2BeBi
_space_group_name_H-M_alt 'F m -3 m'
_space_group_IT_number 225
_space_group_name_Hall '-F 4 2 3'
_cell_length_a 7.280
_cell_length_b 7.280
_cell_length_c 7.280
_cell_angle_alpha 90.00
_cell_angle_beta 90.00
_cell_angle_gamma 90.00
loop_
_atom_site_label
_atom_site_fract_x
_atom_site_fract_y
_atom_site_fract_z
Y1 0.250 0.250 0.250
Be1 0.000 0.000 0.000
Bi1 0.000 0.000 0.500
```

Summary:
* N(E_F): 10.1 states/eV per cell
* mass density: 6.82 g cm⁻³
* total magnetic moment: 0.000 μB per atom


2) Compound: Y2BeBi
Source: Alexandria
Functional: SCAN
Structure: single point on PBEsol structure

CIF file:
```
data_Y2BeBi
_space_group_name_H-M_alt 'I -4 2 d'
_space_group_IT_number 122
_space_group_name_Hall 'I -4 2bw'
_cell_length_a 7.762
_cell_length_b 7.762
_cell_length_c 6.760
_cell_angle_alpha 90.00
_cell_angle_beta 90.00
_cell_angle_gamma 90.00
loop_
_atom_site_label
_atom_site_fract_x
_atom_site_fract_y
_atom_site_fract_z
Y1 0.212 0.250 0.125
Be1 0.000 0.000 0.000
Bi1 0.000 0.000 0.500
```

Summary:
* N(E_F): 14.0 states/eV per cell
* mass density: 6.46 g cm⁻³
* total magnetic moment: 0.000 μB per atom


Result of the stability comparison: 2) is the least stable of them.


1) Compound: BeBr
Source: Alexandria
Functional: SCAN
Structure: single point on PBEsol structure

CIF file:
```
data_BeBr
_space_group_name_H-M_alt 'P -3 m 1'
_space_group_IT_number 164
_space_group_name_Hall '-P 3 2"'
_cell_length_a 3.2918
_cell_length_b 3.2918
_cell_length_c 8.2356
_cell_angle_alpha 90.00
_cell_angle_beta 90.00
_cell_angle_gamma 120.00
loop_
_atom_site_label
_atom_site_fract_x
_atom_site_fract_y
_atom_site_fract_z
Be1 0.3333 0.6667 0.1214
Br1 0.3333 0.6667 0.7124
```

Summary:
* N(E_F): 0.8 states/eV per cell
* mass density: 3.82 g cm⁻³
* total magnetic moment: 0.000 μB per atom


2) Compound: BeBr
Source: Alexandria
Functional: SCAN
Structure: single point on PBEsol structure

CIF file:
```
data_BeBr
_space_group_name_H-M_alt 'P -6 m 2'
_space_group_IT_number 187
_space_group_name_Hall 'P -6 2'
_cell_length_a 3.3490
_cell_length_b 3.3490
_cell_length_c 3.4261
_cell_angle_alpha 90.00
_cell_angle_beta 90.00
_cell_angle_gamma 120.00
loop_
_atom_site_label
_atom_site_fract_x
_atom_site_fract_y
_atom_site_fract_z
Be1 0.0000 0.0000 0.0000
Br1 0.3333 0.6667 0.5000
```

Summary:
* N(E_F): 0.6 states/eV per cell
* mass density: 4.44 g cm⁻³
* total magnetic moment: 0.000 μB per atom


Result of the stability comparison: 2) is the least stable of them.